Record 1
The following is a PBE calculation of crystalline SrTiSi2 at its relaxed geometry, from the Alexandria database.

Properties
The calculation puts the total energy at -19.84 eV for the cell shown. The total magnetic moment is 0.00 μB per formula unit. The offset from the most stable computed form comes out at 54 kJ/mol of formula units. The formation energy from raw total energies comes out at 146 meV/atom. The value obtained for the density of states at the Fermi level is 5.44 states/eV/cell.

CIF file:
```
data_SrTiSi2
_chemical_formula_sum 'Sr1 Ti1 Si2'
_symmetry_space_group_name_H-M 'P 1'
_symmetry_Int_Tables_number 1
_cell_length_a 4.8631
_cell_length_b 4.8631
_cell_length_c 4.8631
_cell_angle_alpha 60.00
_cell_angle_beta 60.00
_cell_angle_gamma 60.00
loop_
_symmetry_equiv_pos_as_xyz
'x,y,z'
loop_
_atom_site_label
_atom_site_fract_x
_atom_site_fract_y
_atom_site_fract_z
Sr1 0.5000 0.5000 0.5000
Si1 0.2500 0.2500 0.2500
Si2 0.7500 0.7500 0.7500
Ti1 0.0000 0.0000 0.0000
```

Record 2
The following is a PBE calculation of crystalline SrTi3Si at its relaxed geometry, from the Alexandria database.

Properties
The calculation puts the total energy at -20.92 eV for the cell shown. The total magnetic moment is 1.37 μB per formula unit. The offset from the most stable computed form comes out at 777 kJ/mol of formula units. The formation energy from raw total energies comes out at 1975 meV/atom. The value obtained for the density of states at the Fermi level is 6.08 states/eV/cell.

CIF file:
```
data_SrTi3Si
_chemical_formula_sum 'Sr1 Ti3 Si1'
_symmetry_space_group_name_H-M 'P 1'
_symmetry_Int_Tables_number 1
_cell_length_a 4.6861
_cell_length_b 4.6861
_cell_length_c 4.6861
_cell_angle_alpha 90.00
_cell_angle_beta 90.00
_cell_angle_gamma 90.00
loop_
_symmetry_equiv_pos_as_xyz
'x,y,z'
loop_
_atom_site_label
_atom_site_fract_x
_atom_site_fract_y
_atom_site_fract_z
Sr1 0.0000 0.0000 0.0000
Si1 0.5000 0.5000 0.5000
Ti1 0.0000 0.5000 0.0000
Ti2 0.0000 0.0000 0.5000
Ti3 0.5000 0.0000 0.0000
```

Record 3
The following is a PBE calculation of crystalline Sr2TiSi2 at its relaxed geometry, from the Alexandria database.

Properties
The calculation puts the total energy at -45.85 eV for the cell shown. The total magnetic moment is 0.34 μB per formula unit. The formation energy from raw total energies comes out at -165 meV/atom. The value obtained for the density of states at the Fermi level is 7.91 states/eV/cell.

CIF file:
```
data_Sr2TiSi2
_chemical_formula_sum 'Sr4 Ti2 Si4'
_symmetry_space_group_name_H-M 'P 1'
_symmetry_Int_Tables_number 1
_cell_length_a 7.1392
_cell_length_b 7.1392
_cell_length_c 4.9339
_cell_angle_alpha 90.00
_cell_angle_beta 90.00
_cell_angle_gamma 90.00
loop_
_symmetry_equiv_pos_as_xyz
'x,y,z'
loop_
_atom_site_label
_atom_site_fract_x
_atom_site_fract_y
_atom_site_fract_z
Sr1 0.1762 0.6762 0.5000
Sr2 0.6762 0.8238 0.5000
Sr3 0.8238 0.3238 0.5000
Sr4 0.3238 0.1762 0.5000
Si1 0.3756 0.8756 0.0000
Si2 0.8756 0.6244 0.0000
Si3 0.6244 0.1244 0.0000
Si4 0.1244 0.3756 0.0000
Ti1 0.0000 0.0000 0.0000
Ti2 0.5000 0.5000 0.0000
```

Record 4
The following is a PBE calculation of crystalline Sr2TiSi at its relaxed geometry, from the Alexandria database.

Properties
The calculation puts the total energy at -30.96 eV for the cell shown. The total magnetic moment is 2.28 μB per formula unit. The formation energy from raw total energies comes out at 300 meV/atom. The value obtained for the density of states at the Fermi level is 11.37 states/eV/cell.

CIF file:
```
data_Sr2TiSi
_chemical_formula_sum 'Sr4 Ti2 Si2'
_symmetry_space_group_name_H-M 'P 1'
_symmetry_Int_Tables_number 1
_cell_length_a 11.3726
_cell_length_b 11.3726
_cell_length_c 8.4205
_cell_angle_alpha 47.52
_cell_angle_beta 47.52
_cell_angle_gamma 90.00
loop_
_symmetry_equiv_pos_as_xyz
'x,y,z'
loop_
_atom_site_label
_atom_site_fract_x
_atom_site_fract_y
_atom_site_fract_z
Sr1 0.4672 0.1250 0.2500
Sr2 0.2828 0.6250 0.2500
Sr3 0.3750 0.5328 0.7500
Sr4 0.8750 0.7172 0.7500
Si1 0.5000 0.5000 0.0000
Si2 0.2500 0.7500 0.5000
Ti1 0.0000 0.0000 0.0000
Ti2 0.7500 0.2500 0.5000
```

Record 5
The following is a PBE calculation of crystalline SrTi3Si at its relaxed geometry, from the Alexandria database.

Properties
The calculation puts the total energy at -28.97 eV for the cell shown. The total magnetic moment is 0.00 μB per formula unit. The offset from the most stable computed form comes out at 0 kJ/mol of formula units. The formation energy from raw total energies comes out at 364 meV/atom. The value obtained for the density of states at the Fermi level is 9.25 states/eV/cell.

CIF file:
```
data_SrTi3Si
_chemical_formula_sum 'Sr1 Ti3 Si1'
_symmetry_space_group_name_H-M 'P 1'
_symmetry_Int_Tables_number 1
_cell_length_a 4.8753
_cell_length_b 4.8753
_cell_length_c 4.8753
_cell_angle_alpha 90.00
_cell_angle_beta 90.00
_cell_angle_gamma 90.00
loop_
_symmetry_equiv_pos_as_xyz
'x,y,z'
loop_
_atom_site_label
_atom_site_fract_x
_atom_site_fract_y
_atom_site_fract_z
Sr1 0.5000 0.5000 0.5000
Si1 0.0000 0.0000 0.0000
Ti1 0.0000 0.5000 0.0000
Ti2 0.0000 0.0000 0.5000
Ti3 0.5000 0.0000 0.0000
```

Record 6
The following is a PBE calculation of crystalline SrTi2Si at its relaxed geometry, from the Alexandria database.

Properties
The calculation puts the total energy at -42.99 eV for the cell shown. The total magnetic moment is 0.00 μB per formula unit. The formation energy from raw total energies comes out at 350 meV/atom. The value obtained for the density of states at the Fermi level is 10.14 states/eV/cell.

CIF file:
```
data_SrTi2Si
_chemical_formula_sum 'Sr2 Ti4 Si2'
_symmetry_space_group_name_H-M 'P 1'
_symmetry_Int_Tables_number 1
_cell_length_a 4.6472
_cell_length_b 4.6472
_cell_length_c 10.0857
_cell_angle_alpha 76.68
_cell_angle_beta 76.68
_cell_angle_gamma 90.00
loop_
_symmetry_equiv_pos_as_xyz
'x,y,z'
loop_
_atom_site_label
_atom_site_fract_x
_atom_site_fract_y
_atom_site_fract_z
Sr1 0.0000 0.0000 0.0000
Sr2 0.7500 0.2500 0.5000
Si1 0.5000 0.5000 0.0000
Si2 0.2500 0.7500 0.5000
Ti1 0.3877 0.1250 0.2500
Ti2 0.3623 0.6250 0.2500
Ti3 0.3750 0.6123 0.7500
Ti4 0.8750 0.6377 0.7500
```

Record 7
The following is a PBE calculation of crystalline SrTiSi3 at its relaxed geometry, from the Alexandria database.

Properties
The calculation puts the total energy at -26.30 eV for the cell shown. The total magnetic moment is 0.00 μB per formula unit. The formation energy from raw total energies comes out at -91 meV/atom. The value obtained for the density of states at the Fermi level is 2.41 states/eV/cell.

CIF file:
```
data_SrTiSi3
_chemical_formula_sum 'Sr1 Ti1 Si3'
_symmetry_space_group_name_H-M 'P 1'
_symmetry_Int_Tables_number 1
_cell_length_a 4.8274
_cell_length_b 4.8274
_cell_length_c 4.8274
_cell_angle_alpha 90.00
_cell_angle_beta 90.00
_cell_angle_gamma 90.00
loop_
_symmetry_equiv_pos_as_xyz
'x,y,z'
loop_
_atom_site_label
_atom_site_fract_x
_atom_site_fract_y
_atom_site_fract_z
Sr1 0.5000 0.5000 0.5000
Si1 0.0000 0.5000 0.0000
Si2 0.0000 0.0000 0.5000
Si3 0.5000 0.0000 0.0000
Ti1 0.0000 0.0000 0.0000
```

Record 8
The following is a PBE calculation of crystalline SrTiSi2 at its relaxed geometry, from the Alexandria database.

Properties
The calculation puts the total energy at -40.80 eV for the cell shown. The total magnetic moment is 0.33 μB per formula unit. The offset from the most stable computed form comes out at 0 kJ/mol of formula units. The formation energy from raw total energies comes out at 5 meV/atom. The value obtained for the density of states at the Fermi level is 5.79 states/eV/cell.

CIF file:
```
data_SrTiSi2
_chemical_formula_sum 'Sr2 Ti2 Si4'
_symmetry_space_group_name_H-M 'P 1'
_symmetry_Int_Tables_number 1
_cell_length_a 5.0974
_cell_length_b 5.0974
_cell_length_c 9.1369
_cell_angle_alpha 73.80
_cell_angle_beta 73.80
_cell_angle_gamma 90.00
loop_
_symmetry_equiv_pos_as_xyz
'x,y,z'
loop_
_atom_site_label
_atom_site_fract_x
_atom_site_fract_y
_atom_site_fract_z
Sr1 0.0000 0.0000 0.0000
Sr2 0.7500 0.2500 0.5000
Si1 0.4183 0.1250 0.2500
Si2 0.3317 0.6250 0.2500
Si3 0.3750 0.5817 0.7500
Si4 0.8750 0.6683 0.7500
Ti1 0.5000 0.5000 0.0000
Ti2 0.2500 0.7500 0.5000
```